(1)
Crystalline MnAsPb2 at its relaxed geometry. Source: Alexandria via LeMat-Bulk, functional PBE.

Values from the calculation:
**Offset from the most stable computed form**: 1.04 eV per formula unit
**Total moment**: 4.13 μB per formula unit
**Formation energy from the elements**: 0.3403 eV/atom
**Crystal system**: monoclinic

abc: 7.194 6.787 3.974
angles: 90.00 90.12 90.00
Space group C2/m (No. 12)
Symmetry-distinct sites (fractional):
1 Mn 0.000 0.000 0.000
2 As 0.000 0.500 0.000
3 Pb 0.250 0.250 0.500

(2)
Crystalline Mn2AsPb at its relaxed geometry. Source: Alexandria via LeMat-Bulk, functional PBE.

Values from the calculation:
**Offset from the most stable computed form**: 2.11 eV per formula unit
**Total moment**: 0.00 μB per formula unit
**Formation energy from the elements**: 0.6773 eV/atom
**Crystal system**: cubic

abc: 6.240 6.240 6.240
angles: 90.00 90.00 90.00
Space group Fm-3m (No. 225)
Symmetry-distinct sites (fractional):
1 Mn 0.250 0.250 0.250
2 As 0.000 0.000 0.000
3 Pb 0.000 0.000 0.500

(3)
Crystalline MnAs2Pb at its relaxed geometry. Source: Alexandria via LeMat-Bulk, functional PBE.

Values from the calculation:
**Offset from the most stable computed form**: 0.51 eV per formula unit
**Total moment**: 3.34 μB per formula unit
**Formation energy from the elements**: 0.0802 eV/atom
**Crystal system**: tetragonal

abc: 4.506 4.506 5.324
angles: 90.00 90.00 90.00
Space group P-4m2 (No. 115)
Symmetry-distinct sites (fractional):
1 Mn 0.000 0.000 0.000
2 As 0.000 0.500 0.831
3 Pb 0.500 0.500 0.500

(4)
Crystalline Mn2AsPb at its relaxed geometry. Source: Alexandria via LeMat-Bulk, functional PBE.

Values from the calculation:
**Offset from the most stable computed form**: 0.31 eV per formula unit
**Total moment**: 6.12 μB per formula unit
**Formation energy from the elements**: 0.2279 eV/atom
**Crystal system**: tetragonal

abc: 3.184 3.184 7.133
angles: 90.00 90.00 90.00
Space group P4/mmm (No. 123)
Symmetry-distinct sites (fractional):
1 Mn 0.000 0.000 0.186
2 As 0.500 0.500 0.000
3 Pb 0.500 0.500 0.500

Number 1: E -4.97 eV/atom, calculated density 9.32 g/cm3. Number 2: E -6.00 eV/atom, calculated density 10.72 g/cm3. Number 3: E -5.46 eV/atom, calculated density 6.33 g/cm3. Number 4: E -6.45 eV/atom, calculated density 9.00 g/cm3.